DFT (PBE) results for crystalline Hf4SnPd2 at its relaxed geometry.

E = -7.20 eV per atom
space-group type = I4/mmm (139)
N(E_F) = 7.6 states/eV per cell
energy of formation = 0.548 eV/atom

Cell lengths 7.584, 7.584, 7.584 Å; angles 140.14, 140.14, 57.64 degrees
Positions (direct):
Hf: 0.000 0.500 0.500
Hf: 0.209 0.209 0.000
Hf: 0.500 0.000 0.500
Hf: 0.791 0.791 0.000
Sn: 0.000 0.000 0.000
Pd: 0.396 0.396 0.000
Pd: 0.604 0.604 0.000